(1)
VASP calculation (PBE) on ZnFeSb after structural relaxation.

Computed properties:
The value obtained for the uncorrected energy is -4.19 eV/atom. For the magnetization, the calculation gives 2.6 μB per formula unit.

a b c (Å): 4.7062 4.7062 5.4025
angles (deg): 90.00 90.00 120.00
With the nearest neighbours (Å) after each atom.
Atoms (fractional coordinates):
Zn: 0.6667 0.3333 0.4968  5 Sb 2.70-2.72, 3 Fe 3.01
Zn: 0.3333 0.6667 0.9968  5 Sb 2.70-2.72, 3 Fe 3.01
Sb: 0.6667 0.3333 0.9975  5 Zn 2.70-2.72, 3 Fe 3.01
Sb: 0.3333 0.6667 0.4975  5 Zn 2.70-2.72, 3 Fe 3.01
Fe: 0.0000 0.0000 0.7558  2 Fe 2.70, 3 Zn 3.01, 3 Sb 3.01
Fe: 0.0000 0.0000 0.2558  2 Fe 2.70, 3 Zn 3.01, 3 Sb 3.01

=====

(2)
VASP calculation (PBE) on SrGdSi2 after structural relaxation.

Computed properties:
The value obtained for the uncorrected energy is -4.46 eV/atom. For the magnetization, the calculation gives 0.0 μB per formula unit.

a b c (Å): 9.3873 9.3873 4.1860
angles (deg): 90.00 90.00 142.04
With the nearest neighbours (Å) after each atom.
Atoms (fractional coordinates):
Si: 0.9655 0.0345 0.7500  2 Si 2.43
Si: 0.3192 0.6808 0.2500  2 Gd 2.77, 2 Sr 3.05
Si: 0.0345 0.9655 0.2500  2 Si 2.43
Si: 0.6808 0.3192 0.7500  2 Gd 2.77, 2 Sr 3.05
Gd: 0.5783 0.4217 0.2500  2 Si 2.77
Gd: 0.4217 0.5783 0.7500  2 Si 2.77
Sr: 0.1798 0.8202 0.7500  6 Si 3.05-3.32
Sr: 0.8202 0.1798 0.2500  6 Si 3.05-3.32

=====

(3)
VASP calculation (PBE) on ZrZn after structural relaxation.

Computed properties:
The value obtained for the uncorrected energy is -5.09 eV/atom. For the magnetization, the calculation gives 0.0 μB per formula unit. As for the formation energy: -0.179 eV per atom.

a b c (Å): 4.5887 9.2792 4.5371
angles (deg): 90.00 90.00 75.69
With the nearest neighbours (Å) after each atom.
Atoms (fractional coordinates):
Zr: 0.9972 0.1749 0.5000  4 Zn 2.88-2.91, 6 Zr 3.13-3.21
Zr: 0.3723 0.4249 0.5000  4 Zn 2.88-2.91, 6 Zr 3.13-3.21
Zr: 0.4879 0.1849 0.0000  4 Zn 2.93-2.96, 8 Zr 3.09-3.24
Zr: 0.6790 0.8000 0.0000  8 Zn 2.78-2.80
Zr: 0.8728 0.4151 0.0000  4 Zn 2.93-2.96, 8 Zr 3.09-3.24
Zn: 0.1903 0.8003 0.5000  8 Zn 2.78-2.80
Zn: 0.7782 0.6218 0.5000  6 Zr 2.78-2.93, 2 Zn 2.79-2.80
Zn: 0.6000 0.9782 0.5000  6 Zr 2.78-2.93, 2 Zn 2.79-2.80
Zn: 0.0888 0.9780 0.0000  2 Zn 2.78, 6 Zr 2.79-2.96
Zn: 0.2668 0.6220 0.0000  2 Zn 2.78, 6 Zr 2.79-2.96

=====

(4)
VASP calculation (PBE) on InAsPdO after structural relaxation.

Computed properties:
The value obtained for the uncorrected energy is -4.78 eV/atom.

a b c (Å): 3.3157 6.9242 6.6073
angles (deg): 90.00 90.00 90.00
With the nearest neighbours (Å) after each atom.
Atoms (fractional coordinates):
In: 0.0000 0.7461 0.9653  2 O 2.10
In: 0.0000 0.2539 0.4653  2 O 2.10
As: 0.0000 0.8783 0.3502  2 Pd 2.41
As: 0.0000 0.1217 0.8502  2 Pd 2.41
Pd: 0.5000 0.2682 0.0648  2 O 2.29-2.51, 2 As 2.41
Pd: 0.5000 0.7318 0.5648  2 O 2.29-2.51, 2 As 2.41
O: 0.5000 0.5822 0.8737  2 In 2.10, 1 Pd 2.29
O: 0.5000 0.4178 0.3737  2 In 2.10, 1 Pd 2.29